Sc3Be8Ir | PBE-GGA | relaxed

Output
energy relative to the elements: -0.27 eV/atom
space group: R3m, No. 160
calculated volume: 141 Å³/f.u.

Lattice parameters (Å, degrees): 4.6183 4.6183 8.0891 73.41 73.41 60.00
Atoms (fractional coordinates):
Sc 0.3768 0.3768 0.8695
Sc 0.9963 0.9963 0.0111
Sc 0.5013 0.5013 0.4962
Be 0.9354 0.4330 0.1986
Be 0.4491 0.9376 0.6756
Be 0.4330 0.4330 0.1986
Be 0.9376 0.9376 0.6756
Be 0.1884 0.1884 0.4347
Be 0.6857 0.6857 0.9430
Be 0.4330 0.9354 0.1986
Be 0.9376 0.4491 0.6756
Ir 0.8757 0.8757 0.3728